Record 1
VASP calculation (SCAN) on Zr2ZnFe at its PBEsol-relaxed geometry.

a b c (Å): 6.325 6.325 6.325
angles (deg): 90.00 90.00 90.00
Space group F-43m (No. 216)
Inequivalent atoms, fractional coordinates:
Zr  0.000  0.000  0.000 [4 per cell]
Zr  0.250  0.250  0.250 [4 per cell]
Zn  0.250  0.250  0.750 [4 per cell]
Fe  0.000  0.000  0.500 [4 per cell]

Summary:
Its crystal system is cubic. The formation energy is 0.563 eV per formula unit. Its total moment is 0.00 μB per formula unit.

Record 2
VASP calculation (SCAN) on CrSbTe2I at its PBEsol-relaxed geometry.

a b c (Å): 5.705 5.705 5.748
angles (deg): 90.00 90.00 90.00
Space group P4/mmm (No. 123)
Inequivalent atoms, fractional coordinates:
Cr  0.000  0.000  0.000 [1 per cell]
Sb  0.500  0.500  0.500 [1 per cell]
Te  0.000  0.500  0.500 [2 per cell]
I  0.500  0.500  0.000 [1 per cell]

Summary:
Its crystal system is tetragonal. The value obtained for the raw formation energy is 584 meV/atom. Its total moment is 4.43 μB per formula unit.

Record 3
VASP calculation (SCAN) on Sc2Co21B6 at its PBEsol-relaxed geometry.

a b c (Å): 10.395 10.395 10.395
angles (deg): 90.00 90.00 90.00
Space group Fm-3m (No. 225)
Inequivalent atoms, fractional coordinates:
Sc  0.250  0.250  0.250 [8 per cell]
Co  0.000  0.000  0.000 [4 per cell]
Co  0.000  0.168  0.168 [48 per cell]
Co  0.115  0.115  0.385 [32 per cell]
B  0.000  0.000  0.274 [24 per cell]

Summary:
Its crystal system is cubic. The formation energy is -5.409 eV per formula unit. Its total moment is 24.91 μB per formula unit.

Record 4
VASP calculation (SCAN) on Be8Ru at its PBEsol-relaxed geometry.

a b c (Å): 4.1392 4.1392 10.9301
angles (deg): 90.00 90.00 120.00
Space group P-6m2 (No. 187)
Inequivalent atoms, fractional coordinates:
Be  0.0000  0.0000  0.0000 [1 per cell]
Be  0.0000  0.0000  0.3435 [2 per cell]
Be  0.1707  0.3415  0.5000 [3 per cell]
Be  0.3333  0.6667  0.0969 [2 per cell]
Be  0.3342  0.1671  0.1828 [6 per cell]
Be  0.6667  0.3333  0.3730 [2 per cell]
Ru  0.3333  0.6667  0.3061 [2 per cell]

Summary:
Its crystal system is hexagonal. The formation energy is -1.289 eV per formula unit. Its total moment is 0.00 μB per formula unit.

Record 5
VASP calculation (SCAN) on Sr2TlB at its PBEsol-relaxed geometry.

a b c (Å): 8.321 8.321 7.037
angles (deg): 90.00 90.00 90.00
Space group I-42d (No. 122)
Inequivalent atoms, fractional coordinates:
Sr  0.184  0.250  0.125 [8 per cell]
Tl  0.000  0.000  0.500 [4 per cell]
B  0.000  0.000  0.000 [4 per cell]

Summary:
Its crystal system is tetragonal. The formation energy is 1.770 eV per formula unit. Its total moment is 1.75 μB per formula unit.

Record 6
VASP calculation (SCAN) on Mg2AsSe at its PBEsol-relaxed geometry.

a b c (Å): 4.928 4.928 3.198
angles (deg): 90.00 90.00 90.00
Space group P4/mmm (No. 123)
Inequivalent atoms, fractional coordinates:
Mg  0.000  0.500  0.000 [2 per cell]
As  0.000  0.000  0.500 [1 per cell]
Se  0.500  0.500  0.500 [1 per cell]

Summary:
Its crystal system is tetragonal. The value obtained for the raw formation energy is -458 meV/atom. Its total moment is 0.00 μB per formula unit.

Record 7
VASP calculation (SCAN) on Li3Fe2Si2O8 at its PBEsol-relaxed geometry.

a b c (Å): 7.485 7.246 6.304
angles (deg): 90.00 90.71 90.00
Space group C2 (No. 5)
Inequivalent atoms, fractional coordinates:
Li  0.000  0.000  0.000 [2 per cell]
Li  0.189  0.682  0.250 [4 per cell]
Fe  0.179  0.679  0.741 [4 per cell]
Si  0.000  0.007  0.500 [2 per cell]
Si  0.000  0.365  0.000 [2 per cell]
O  0.002  0.496  0.790 [4 per cell]
O  0.003  0.878  0.718 [4 per cell]
O  0.173  0.222  0.009 [4 per cell]
O  0.182  0.130  0.498 [4 per cell]

Summary:
Its crystal system is monoclinic. The value obtained for the raw formation energy is -2388 meV/atom. Its total moment is 9.00 μB per formula unit.

Record 8
VASP calculation (SCAN) on CuSe2O5 at its PBEsol-relaxed geometry.

a b c (Å): 11.946 5.144 7.646
angles (deg): 90.00 111.35 90.00
Space group C2/c (No. 15)
Inequivalent atoms, fractional coordinates:
Cu  0.000  0.000  0.000 [4 per cell]
Se  0.144  0.427  0.330 [8 per cell]
O  0.000  0.398  0.750 [4 per cell]
O  0.128  0.226  0.147 [8 per cell]
O  0.128  0.229  0.498 [8 per cell]

Summary:
Its crystal system is monoclinic. The value obtained for the raw formation energy is -833 meV/atom. Its total moment is 1.00 μB per formula unit.

Record 9
VASP calculation (SCAN) on Tl2As2Pd at its PBEsol-relaxed geometry.

a b c (Å): 6.299 6.299 5.721
angles (deg): 90.00 90.00 90.00
Space group P4/mbm (No. 127)
Inequivalent atoms, fractional coordinates:
Tl  0.184  0.316  0.000 [4 per cell]
As  0.136  0.636  0.500 [4 per cell]
Pd  0.000  0.000  0.500 [2 per cell]

Summary:
Its crystal system is tetragonal. The formation energy is -0.631 eV per formula unit. Its total moment is 0.00 μB per formula unit.

Record 10
VASP calculation (SCAN) on TaAlSi4 at its PBEsol-relaxed geometry.

a b c (Å): 6.953 6.953 6.953
angles (deg): 90.00 90.00 90.00
Space group F-43m (No. 216)
Inequivalent atoms, fractional coordinates:
Ta  0.000  0.000  0.000 [4 per cell]
Al  0.250  0.250  0.750 [4 per cell]
Si  0.125  0.125  0.375 [16 per cell]

Summary:
Its crystal system is cubic. The value obtained for the raw formation energy is 282 meV/atom. Its total moment is 0.00 μB per formula unit.

Record 11
VASP calculation (SCAN) on BaPRu2 at its PBEsol-relaxed geometry.

a b c (Å): 4.398 4.398 3.574
angles (deg): 90.00 90.00 90.00
Space group P4/mmm (No. 123)
Inequivalent atoms, fractional coordinates:
Ba  0.000  0.000  0.000 [1 per cell]
P  0.500  0.500  0.000 [1 per cell]
Ru  0.000  0.500  0.500 [2 per cell]

Summary:
Its crystal system is tetragonal. The formation energy is 3.571 eV per formula unit. Its total moment is 0.00 μB per formula unit.

Record 12
VASP calculation (SCAN) on Sb2As at its PBEsol-relaxed geometry.

a b c (Å): 6.868 6.868 6.868
angles (deg): 90.00 90.00 90.00
Space group Fm-3m (No. 225)
Inequivalent atoms, fractional coordinates:
Sb  0.250  0.250  0.250 [8 per cell]
As  0.000  0.000  0.000 [4 per cell]

Summary:
Its crystal system is cubic. The value obtained for the raw formation energy is 355 meV/atom. Its total moment is 0.00 μB per formula unit.

> total moment of number 12 (Sb2As)?

0.00 μB per formula unit